This record from the Alexandria database describes a geometry-optimized ScMn2Cl structure. The functional is PBE-GGA.

Values from the calculation:
* energy relative to the lowest polymorph listed for this composition: 368 meV/atom
* final energy: -6.56 eV/atom
* symmetry: No. 65
* DOS at the Fermi energy: 3.21 states/eV/cell
* formation energy without anion corrections: 0.30 eV/f.u.
* size of the total moment: 7.7 Bohr magnetons per cell

POSCAR file:
```
ScMn2Cl
1.0
-1.886 -1.093 -2.188
-1.973 -0.976 2.166
-3.730 6.958 -0.261
Cl Mn Sc
1 2 1
Cartesian
-4.727 4.184 -0.207
-3.706 6.915 -0.259
-1.888 3.523 -0.132
-2.862 0.705 -0.076
```

***

This record from the Alexandria database describes a geometry-optimized ScMnCl6 structure. The functional is PBE-GGA.

Values from the calculation:
* energy relative to the lowest polymorph listed for this composition: 0 meV/atom
* final energy: -4.80 eV/atom
* symmetry: No. 166
* DOS at the Fermi energy: 7.19 states/eV/cell
* formation energy without anion corrections: -11.80 eV/f.u.
* size of the total moment: 4.0 Bohr magnetons per cell

POSCAR file:
```
ScMnCl6
1.0
-1.892 -5.901 0.114
7.732 -0.291 0.894
2.187 -2.737 6.956
Sc Mn Cl
1 1 6
Cartesian
-0.946 -2.951 0.057
0.000 0.000 0.000
5.488 -1.120 0.686
2.821 -4.513 5.470
0.352 -5.073 0.323
0.032 -7.044 5.294
5.206 -4.417 2.494
0.264 -1.594 1.776
```

***

This record from the Alexandria database describes a geometry-optimized ScMn2Cl structure. The functional is PBE-GGA.

Values from the calculation:
* energy relative to the lowest polymorph listed for this composition: 384 meV/atom
* final energy: -6.54 eV/atom
* symmetry: No. 12
* DOS at the Fermi energy: 4.19 states/eV/cell
* formation energy without anion corrections: 0.36 eV/f.u.
* size of the total moment: 6.7 Bohr magnetons per cell

POSCAR file:
```
ScMn2Cl
1.0
4.406 -0.001 -0.003
-2.183 5.487 0.001
0.040 0.849 2.932
Cl Mn Sc
1 2 1
Cartesian
1.111 2.743 -0.001
0.000 0.000 0.000
2.223 0.424 1.465
-1.072 3.168 1.467
```

***

This record from the Alexandria database describes a geometry-optimized ScMnCl structure. The functional is PBE-GGA.

Values from the calculation:
* final energy: -6.20 eV/atom
* symmetry: No. 107
* DOS at the Fermi energy: 1.52 states/eV/cell
* formation energy without anion corrections: -1.25 eV/f.u.
* size of the total moment: 2.9 Bohr magnetons per cell

POSCAR file:
```
ScMnCl
1.0
6.964 0.006 -0.007
6.260 3.053 0.022
0.704 0.136 3.044
Cl Mn Sc
1 1 1
Cartesian
1.184 0.248 2.928
4.476 1.017 2.131
8.973 2.067 1.044
```